{
  "formula": "MnFe2HPt",
  "functional": "GGA-PBE",
  "state": "optimized geometry",
  "total_energy_ev_per_fu": -35.3,
  "sg": "No. 123",
  "density_g_cm3": 12.3,
  "cell": [[3.6551, 0.0000, 0.0000], [0.0000, 3.6551, 0.0000], [0.0000, 0.0000, 3.6511]],
  "species": ["Mn", "Fe", "Fe", "H", "Pt"],
  "frac_coords": [[0.0000, 0.0000, 0.0000], [0.0000, 0.5000, 0.5000], [0.5000, 0.0000, 0.5000], [0.0000, 0.0000, 0.5000], [0.5000, 0.5000, 0.0000]]
}

=====

{
  "formula": "MnFeH2Pt",
  "functional": "GGA-PBE",
  "state": "optimized geometry",
  "total_energy_ev_per_fu": -25.8,
  "sg": "No. 123",
  "density_g_cm3": 9.1,
  "cell": [[3.3983, 0.0000, 0.0000], [0.0000, 3.3983, 0.0000], [0.0000, 0.0000, 4.8415]],
  "species": ["Mn", "Fe", "H", "H", "Pt"],
  "frac_coords": [[0.0000, 0.0000, 0.0000], [0.5000, 0.5000, 0.5000], [0.0000, 0.5000, 0.0000], [0.5000, 0.0000, 0.0000], [0.0000, 0.0000, 0.5000]]
}

=====

{
  "formula": "Mn2FeHPt",
  "functional": "GGA-PBE",
  "state": "optimized geometry",
  "de_polymorph_mev_per_atom": 107,
  "sg": "No. 123",
  "density_g_cm3": 10.2,
  "cell": [[3.9980, 0.0000, 0.0000], [0.0000, 3.9980, 0.0000], [0.0000, 0.0000, 3.7015]],
  "species": ["Mn", "Mn", "Fe", "H", "Pt"],
  "frac_coords": [[0.0000, 0.5000, 0.0000], [0.5000, 0.0000, 0.0000], [0.0000, 0.0000, 0.5000], [0.5000, 0.5000, 0.0000], [0.5000, 0.5000, 0.5000]]
}

=====

{
  "formula": "MnFe2ReH",
  "functional": "GGA-PBE",
  "state": "optimized geometry",
  "de_polymorph_mev_per_atom": 0,
  "sg": "No. 123",
  "density_g_cm3": 12.3,
  "cell": [[3.6125, 0.0000, 0.0000], [0.0000, 3.6125, 0.0000], [0.0000, 0.0000, 3.6674]],
  "species": ["Mn", "Fe", "Fe", "Re", "H"],
  "frac_coords": [[0.0000, 0.0000, 0.0000], [0.0000, 0.5000, 0.5000], [0.5000, 0.0000, 0.5000], [0.5000, 0.5000, 0.0000], [0.0000, 0.0000, 0.5000]]
}